Record 1
A geometry-optimized Sm3GaS structure. Source: Alexandria via LeMat-Bulk, functional PBE.

Calculated values
The calculation puts the total magnetization at 0.3 μB/f.u. As for the formation energy (no corrections): -23.23 kcal/mol of atoms. The symmetry is P2_1/m.

POSCAR file:
```
Sm3GaS
1.0
4.0498 -0.0002 0.0001
0.0004 7.9538 1.1198
-0.0001 0.1998 8.6116
Sm Ga S
6 2 2
Direct
0.6834 0.0360 0.8337
0.1834 0.8244 0.5727
0.6834 0.7288 0.2354
0.6834 0.5044 0.8853
0.1834 0.1316 0.1710
0.1834 0.3560 0.5211
0.1832 0.7701 0.9620
0.6833 0.0903 0.4445
0.1834 0.2744 0.8489
0.6834 0.5860 0.5575
```

***

Record 2
A geometry-optimized Sm3GaS6 structure. Source: Alexandria via LeMat-Bulk, functional PBE.

Calculated values
The calculation puts the total magnetization at 0.0 μB/f.u. As for the formation energy (no corrections): -40.08 kcal/mol of atoms. The symmetry is Cmc2_1.

POSCAR file:
```
Sm3GaS6
1.0
6.5886 0.0000 0.0000
0.0000 8.7059 0.0360
0.0000 -1.9077 8.4944
Sm Ga S
6 2 12
Direct
0.4826 0.9150 0.7154
0.9826 0.7154 0.9150
0.3960 0.4002 0.5998
0.8960 0.5998 0.4002
0.9826 0.0850 0.2846
0.4826 0.2846 0.0850
0.0208 0.1990 0.8010
0.5208 0.8010 0.1990
0.1892 0.6887 0.6347
0.6892 0.6347 0.6887
0.1941 0.4285 0.8998
0.6941 0.8998 0.4285
0.1616 0.0405 0.9595
0.6752 0.2172 0.7828
0.1752 0.7828 0.2172
0.6616 0.9595 0.0405
0.1941 0.1002 0.5715
0.6941 0.5715 0.1002
0.1892 0.3653 0.3113
0.6892 0.3113 0.3653
```